No. 1
The following is a PBE calculation of a geometry-optimized Zr2AsPb structure, from the Alexandria database.

Distance to the lowest polymorph of the same formula   280.0 meV per atom
Energy of formation from the pure elements   -358.5 meV per atom
VASP energy   -6.722 eV per atom
SG   Pm, No. 6

abc: 5.1032 3.3163 5.5509
angles: 76.57 90.00 90.00
Closest atoms and distances in Å follow each position.
Atoms (fractional coordinates):
Pb 0.5000 0.6496 0.8214  7 Zr 2.90-3.17
As 0.0000 0.4842 0.3842  3 Zr 2.67-2.78
Zr 0.0000 0.0955 0.9475  3 As 2.78-3.09
Zr 0.5000 0.2707 0.3468  2 As 2.67, 2 Pb 2.90-2.94

=====

No. 2
The following is a PBE calculation of a geometry-optimized Sr2ErCdAu6 structure, from the Alexandria database.

Energy of formation from the pure elements   -241.4 meV per atom
VASP energy   -3.092 eV per atom
SG   Fm-3m, No. 225

abc: 7.6010 7.6010 7.6011
angles: 60.00 60.00 90.00
Closest atoms and distances in Å follow each position.
Atoms (fractional coordinates):
Sr 0.2500 0.7500 0.5000  12 Au 3.80
Sr 0.7500 0.2500 0.5000  12 Au 3.80
Er 0.5000 0.5000 0.0000  6 Au 2.72
Cd 0.0000 0.0000 0.0000  6 Au 2.66
Au 0.2473 0.7527 0.0000  1 Cd 2.66, 1 Er 2.72
Au 0.7527 0.7527 0.0000  1 Cd 2.66, 1 Er 2.72
Au 0.2473 0.2473 0.5054  1 Cd 2.66, 1 Er 2.72
Au 0.7527 0.2473 0.0000  1 Cd 2.66, 1 Er 2.72
Au 0.2473 0.2473 0.0000  1 Cd 2.66, 1 Er 2.72
Au 0.7527 0.7527 0.4946  1 Cd 2.66, 1 Er 2.72

=====

No. 3
The following is a PBE calculation of a geometry-optimized Ti3BeRu4 structure, from the Alexandria database.

Energy of formation from the pure elements   -622.8 meV per atom
VASP energy   -8.687 eV per atom
SG   P4/mmm, No. 123

abc: 3.0457 3.0457 11.9095
angles: 90.00 90.00 90.00
Closest atoms and distances in Å follow each position.
Atoms (fractional coordinates):
Be 0.5000 0.5000 0.0000  8 Ru 2.53, 2 Ti 2.80
Ru 0.0000 0.0000 0.8889  4 Be 2.53, 4 Ti 2.61, 1 Ru 2.65
Ru 0.0000 0.0000 0.1111  4 Be 2.53, 4 Ti 2.61, 1 Ru 2.65
Ru 0.0000 0.0000 0.3707  8 Ti 2.65-2.69
Ru 0.0000 0.0000 0.6293  8 Ti 2.65-2.69
Ti 0.5000 0.5000 0.2352  8 Ru 2.61-2.69, 1 Be 2.80
Ti 0.5000 0.5000 0.5000  8 Ru 2.65
Ti 0.5000 0.5000 0.7648  8 Ru 2.61-2.69, 1 Be 2.80

=====

No. 4
The following is a PBE calculation of a geometry-optimized Zn2HgAu2 structure, from the Alexandria database.

Distance to the lowest polymorph of the same formula   0.0 meV per atom
Energy of formation from the pure elements   -110.1 meV per atom
VASP energy   -1.991 eV per atom
SG   P4/mbm, No. 127

abc: 7.7252 7.7252 3.0430
angles: 90.00 90.00 90.00
Closest atoms and distances in Å follow each position.
Atoms (fractional coordinates):
Zn 0.1538 0.6538 0.5000  6 Au 2.69-2.75
Zn 0.6538 0.8462 0.5000  6 Au 2.69-2.75
Zn 0.8462 0.3462 0.5000  6 Au 2.69-2.75
Zn 0.3462 0.1538 0.5000  6 Au 2.69-2.75
Au 0.3567 0.8567 0.0000  6 Zn 2.69-2.75, 2 Hg 2.97
Au 0.8567 0.6433 0.0000  6 Zn 2.69-2.75, 2 Hg 2.97
Au 0.6433 0.1433 0.0000  6 Zn 2.69-2.75, 2 Hg 2.97
Au 0.1433 0.3567 0.0000  6 Zn 2.69-2.75, 2 Hg 2.97
Hg 0.0000 0.0000 0.0000  4 Au 2.97, 2 Hg 3.04, 8 Zn 3.30
Hg 0.5000 0.5000 0.0000  4 Au 2.97, 2 Hg 3.04, 8 Zn 3.30